Compound: Pr5Tm6
Source: the Alexandria database
Functional: PBE
Structure: optimized geometry

## Properties
- V: 369 Å³ per cell
- Formation enthalpy at 0 K: 0.139 eV/atom
- Relative energy among the computed polymorphs: 21.8 meV per atom
- Total moment: 0.000 μB per atom
- Total DFT energy (no corrections): -4.473 eV per atom

abc: 9.050 8.030 6.440
angles: 80.18 72.38 55.70
Atoms (fractional coordinates):
Pr  0.500  0.000  0.500
Pr  0.367  0.266  0.000
Pr  0.633  0.734  0.000
Pr  0.238  0.525  0.500
Pr  0.762  0.475  0.500
Tm  0.841  0.000  0.697
Tm  0.159  0.000  0.303
Tm  0.299  0.749  0.824
Tm  0.952  0.749  0.176
Tm  0.701  0.251  0.176
Tm  0.048  0.251  0.824


Compound: AcDyYSe3
Source: the Alexandria database
Functional: PBE
Structure: optimized geometry

## Properties
- Formation energy from raw total energies: -161 kJ/mol of atoms
- V: 346 Å³ per cell
- Total moment: 0.070 μB per atom
- Total DFT energy (no corrections): -5.935 eV per atom

abc: 4.173 8.179 10.463
angles: 104.61 90.00 90.00
Site moments in Bohr magnetons follow the coordinates.
Atoms (fractional coordinates):
Ac  0.250  0.188  0.212  0.01
Ac  0.750  0.812  0.788  0.01
Dy  0.250  0.663  0.093  0.10
Dy  0.750  0.337  0.907  0.10
Y  0.250  0.169  0.625  0.10
Y  0.750  0.831  0.375  0.10
Se  0.750  0.901  0.109  0.01
Se  0.250  0.099  0.891  0.01
Se  0.250  0.798  0.554  0.01
Se  0.750  0.202  0.446  0.01
Se  0.750  0.483  0.192  0.00
Se  0.250  0.517  0.808  0.00


- Number 2 is which compound?
  AcDyYSe3